Material: TaCuTc2
Method: DFT, GGA-PBE
State: relaxed Values from VASP.

Quantum ESPRESSO input file:
```
&SYSTEM
  ibrav = 0, nat = 4, ntyp = 3
/
ATOMIC_SPECIES
Cu 63.55 Cu.upf
Ta 180.95 Ta.upf
Tc 98.00 Tc.upf
ATOMIC_POSITIONS crystal
Cu 0.250 0.250 0.250
Ta 0.750 0.750 0.750
Tc 0.995 0.995 0.995
Tc 0.505 0.505 0.505
CELL_PARAMETERS angstrom
-8.797 0.596 3.183
-8.414 -2.107 3.555
-7.594 -0.322 5.487
```

***

Material: TaCu2Tc
Method: DFT, GGA-PBE
State: relaxed Values from VASP.

Quantum ESPRESSO input file:
```
&SYSTEM
  ibrav = 0, nat = 4, ntyp = 3
/
ATOMIC_SPECIES
Cu 63.55 Cu.upf
Ta 180.95 Ta.upf
Tc 98.00 Tc.upf
ATOMIC_POSITIONS crystal
Cu 0.002 0.002 0.991
Cu 0.745 0.745 0.764
Ta 0.496 0.496 0.503
Tc 0.257 0.257 0.242
CELL_PARAMETERS angstrom
4.683 0.005 -0.017
3.937 2.535 -0.017
0.641 0.189 4.829
```

***

Material: TaCu2Tc
Method: DFT, GGA-PBE
State: relaxed Values from VASP.

Quantum ESPRESSO input file:
```
&SYSTEM
  ibrav = 0, nat = 4, ntyp = 3
/
ATOMIC_SPECIES
Cu 63.55 Cu.upf
Ta 180.95 Ta.upf
Tc 98.00 Tc.upf
ATOMIC_POSITIONS crystal
Cu 0.000 0.000 0.008
Cu 0.500 0.500 0.236
Ta 0.000 0.000 0.495
Tc 0.500 0.500 0.761
CELL_PARAMETERS angstrom
-1.903 -0.088 -1.907
-0.941 -1.524 2.015
-3.639 6.642 3.325
```

***

Material: TaCu2Tc
Method: DFT, GGA-PBE
State: relaxed Values from VASP.

Quantum ESPRESSO input file:
```
&SYSTEM
  ibrav = 0, nat = 4, ntyp = 3
/
ATOMIC_SPECIES
Cu 63.55 Cu.upf
Ta 180.95 Ta.upf
Tc 98.00 Tc.upf
ATOMIC_POSITIONS crystal
Cu 0.000 0.000 0.993
Cu 0.000 0.000 0.507
Ta 0.500 0.500 0.250
Tc 0.500 0.500 0.750
CELL_PARAMETERS angstrom
2.654 0.000 0.000
0.000 2.654 0.000
0.000 0.000 8.061
```

***

Material: Ta2CuTc
Method: DFT, GGA-PBE
State: relaxed Values from VASP.

Quantum ESPRESSO input file:
```
&SYSTEM
  ibrav = 0, nat = 4, ntyp = 3
/
ATOMIC_SPECIES
Cu 63.55 Cu.upf
Ta 180.95 Ta.upf
Tc 98.00 Tc.upf
ATOMIC_POSITIONS crystal
Cu 0.500 0.500 0.749
Ta 0.000 0.000 0.975
Ta 0.500 0.500 0.267
Tc 0.000 0.000 0.508
CELL_PARAMETERS angstrom
3.268 0.000 0.000
0.000 3.268 0.000
0.000 0.000 5.910
```

***

Material: TaCu2Tc
Method: DFT, GGA-PBE
State: relaxed Values from VASP.

Quantum ESPRESSO input file:
```
&SYSTEM
  ibrav = 0, nat = 4, ntyp = 3
/
ATOMIC_SPECIES
Cu 63.55 Cu.upf
Ta 180.95 Ta.upf
Tc 98.00 Tc.upf
ATOMIC_POSITIONS crystal
Cu 0.000 0.150 0.000
Cu 0.500 0.095 0.244
Ta 0.000 0.517 0.487
Tc 0.500 0.738 0.769
CELL_PARAMETERS angstrom
-3.121 -2.548 -1.284
1.475 -0.746 -2.106
2.355 -3.969 2.152
```

***

Material: TaCu2Tc
Method: DFT, GGA-PBE
State: relaxed Values from VASP.

Quantum ESPRESSO input file:
```
&SYSTEM
  ibrav = 0, nat = 4, ntyp = 3
/
ATOMIC_SPECIES
Cu 63.55 Cu.upf
Ta 180.95 Ta.upf
Tc 98.00 Tc.upf
ATOMIC_POSITIONS crystal
Cu 0.000 0.000 0.021
Cu 0.500 0.500 0.226
Ta 0.000 0.000 0.507
Tc 0.500 0.500 0.746
CELL_PARAMETERS angstrom
3.225 0.000 0.000
0.000 3.225 0.000
0.000 0.000 5.569
```

***

Material: TaCu2Tc
Method: DFT, GGA-PBE
State: relaxed Values from VASP.

Quantum ESPRESSO input file:
```
&SYSTEM
  ibrav = 0, nat = 4, ntyp = 3
/
ATOMIC_SPECIES
Cu 63.55 Cu.upf
Ta 180.95 Ta.upf
Tc 98.00 Tc.upf
ATOMIC_POSITIONS crystal
Cu 0.000 0.000 0.000
Cu 0.250 0.750 0.500
Ta 0.500 0.500 0.000
Tc 0.750 0.250 0.500
CELL_PARAMETERS angstrom
4.750 0.000 0.000
1.675 4.445 0.000
-3.213 -2.222 2.703
```

***

Total DFT energy (no corrections) per entry: -8.896, -7.459, -7.481, -7.382, -9.582, -7.533, -7.588, -7.519 eV per atom